Model a:
DFT (PBE) results for crystalline GaPSCl2 at its relaxed geometry.

Properties
space group	P4/mmm
calculated density	3.017	g/cm3

Structure (extended XYZ):
```
5
Lattice="4.597 0.000 0.000 0.000 4.597 0.000 0.000 0.000 5.305" Properties=species:S:1:pos:R:3 pbc="T T T"
Ga 0.000 0.000 0.000
P 0.000 0.000 2.652
S 2.299 2.299 2.652
Cl 0.000 2.299 0.000
Cl 2.299 0.000 0.000
```

Model b:
DFT (PBE) results for crystalline GaPSCl2 at its relaxed geometry.

Properties
space group	P4/mmm
calculated density	2.964	g/cm3

Structure (extended XYZ):
```
5
Lattice="5.041 0.000 0.000 0.000 5.041 0.000 0.000 0.000 4.490" Properties=species:S:1:pos:R:3 pbc="T T T"
Ga 0.000 0.000 0.000
P 2.520 2.520 2.245
S 2.520 2.520 0.000
Cl 0.000 2.520 2.245
Cl 2.520 0.000 2.245
```

Of them, the most stable is model b and the least stable is model a.

Model a:
DFT (PBE) results for crystalline GaPSCl2 at its relaxed geometry.

Properties
space group	P4/mmm
calculated density	2.999	g/cm3

Structure (extended XYZ):
```
5
Lattice="4.679 0.000 0.000 0.000 4.679 0.000 0.000 0.000 5.152" Properties=species:S:1:pos:R:3 pbc="T T T"
Ga 0.000 0.000 0.000
P 2.339 2.339 2.576
S 0.000 0.000 2.576
Cl 0.000 2.339 0.000
Cl 2.339 0.000 0.000
```

Model b:
DFT (PBE) results for crystalline GaPSCl2 at its relaxed geometry.

Properties
space group	P4/mmm
calculated density	2.465	g/cm3

Structure (extended XYZ):
```
5
Lattice="5.764 0.000 0.000 0.000 5.764 0.000 0.000 0.000 4.129" Properties=species:S:1:pos:R:3 pbc="T T T"
Ga 0.000 0.000 0.000
P 2.882 2.882 0.000
S 2.882 2.882 2.065
Cl 0.000 2.882 2.065
Cl 2.882 0.000 2.065
```

Of them, the most stable is model a and the least stable is model b.

Model a:
DFT (PBE) results for crystalline GaPS2Cl at its relaxed geometry.

Properties
space group	P4/mmm
calculated density	3.006	g/cm3

Structure (extended XYZ):
```
5
Lattice="4.870 0.000 0.000 0.000 4.870 0.000 0.000 0.000 4.666" Properties=species:S:1:pos:R:3 pbc="T T T"
Ga 0.000 0.000 0.000
P 2.435 2.435 0.000
S 0.000 2.435 2.333
S 2.435 0.000 2.333
Cl 2.435 2.435 2.333
```

Model b:
DFT (PBE) results for crystalline GaPS2Cl at its relaxed geometry.

Properties
space group	P4/mmm
calculated density	3.061	g/cm3

Structure (extended XYZ):
```
5
Lattice="4.596 0.000 0.000 0.000 4.596 0.000 0.000 0.000 5.144" Properties=species:S:1:pos:R:3 pbc="T T T"
Ga 0.000 0.000 0.000
P 0.000 0.000 2.572
S 0.000 2.298 0.000
S 2.298 0.000 0.000
Cl 2.298 2.298 2.572
```

Of them, the most stable is model b and the least stable is model a.

Model a:
DFT (PBE) results for crystalline GaPS2Cl at its relaxed geometry.

Properties
space group	P4/mmm
calculated density	3.210	g/cm3

Structure (extended XYZ):
```
5
Lattice="4.766 0.000 0.000 0.000 4.766 0.000 0.000 0.000 4.561" Properties=species:S:1:pos:R:3 pbc="T T T"
Ga 0.000 0.000 0.000
P 2.383 2.383 2.280
S 0.000 2.383 0.000
S 2.383 0.000 0.000
Cl 0.000 0.000 2.280
```

Model b:
DFT (PBE) results for crystalline GaPS2Cl at its relaxed geometry.

Properties
space group	P4/mmm
calculated density	3.136	g/cm3

Structure (extended XYZ):
```
5
Lattice="4.522 0.000 0.000 0.000 4.522 0.000 0.000 0.000 5.186" Properties=species:S:1:pos:R:3 pbc="T T T"
Ga 0.000 0.000 0.000
P 2.261 2.261 2.593
S 0.000 2.261 2.593
S 2.261 0.000 2.593
Cl 2.261 2.261 0.000
```

Of them, the most stable is model b and the least stable is model a.

Model a:
DFT (PBE) results for crystalline GaSbPCl2 at its relaxed geometry.

Properties
space group	P4/mmm
calculated density	4.285	g/cm3

Structure (extended XYZ):
```
5
Lattice="4.723 0.000 0.000 0.000 4.723 0.000 0.000 0.000 5.096" Properties=species:S:1:pos:R:3 pbc="T T T"
Ga 0.000 0.000 0.000
Sb 2.361 2.361 2.548
P 0.000 0.000 2.548
Cl 0.000 2.361 0.000
Cl 2.361 0.000 0.000
```

Model b:
DFT (PBE) results for crystalline GaSbPCl2 at its relaxed geometry.

Properties
space group	P4/mmm
calculated density	3.229	g/cm3

Structure (extended XYZ):
```
5
Lattice="5.360 0.000 0.000 0.000 5.360 0.000 0.000 0.000 5.251" Properties=species:S:1:pos:R:3 pbc="T T T"
Ga 0.000 0.000 0.000
Sb 2.680 2.680 2.626
P 2.680 2.680 0.000
Cl 0.000 2.680 2.626
Cl 2.680 0.000 2.626
```

Of them, the most stable is model b and the least stable is model a.

Model a:
DFT (PBE) results for crystalline GaSbP2Cl at its relaxed geometry.

Properties
space group	P4/mmm
calculated density	3.375	g/cm3

Structure (extended XYZ):
```
5
Lattice="5.104 0.000 0.000 0.000 5.104 0.000 0.000 0.000 5.457" Properties=species:S:1:pos:R:3 pbc="T T T"
Ga 0.000 0.000 0.000
Sb 2.552 2.552 2.728
P 0.000 2.552 2.728
P 2.552 0.000 2.728
Cl 2.552 2.552 0.000
```

Model b:
DFT (PBE) results for crystalline GaSbP2Cl at its relaxed geometry.

Properties
space group	P4/mmm
calculated density	4.435	g/cm3

Structure (extended XYZ):
```
5
Lattice="4.816 0.000 0.000 0.000 4.816 0.000 0.000 0.000 4.663" Properties=species:S:1:pos:R:3 pbc="T T T"
Ga 0.000 0.000 0.000
Sb 2.408 2.408 2.332
P 0.000 2.408 0.000
P 2.408 0.000 0.000
Cl 0.000 0.000 2.332
```

Of them, the most stable is model b and the least stable is model a.